# Er3Pt4 SCAN PBEsol geometry
data_Er3Pt4
_cell_length_a 5.625
_cell_length_b 7.673
_cell_length_c 7.673
_cell_angle_alpha 114.23
_cell_angle_beta 104.14
_cell_angle_gamma 104.14
_symmetry_space_group_name_H-M 'P 1'
_symmetry_Int_Tables_number 1
_symmetry_space_group_name_Hall 'P 1'
loop_
_atom_site_label
_atom_site_fract_x
_atom_site_fract_y
_atom_site_fract_z
Er1 0.721 0.747 0.126
Er2 0.595 0.874 0.620
Er3 0.975 0.380 0.253
Er4 0.279 0.253 0.874
Er5 0.405 0.126 0.380
Er6 0.025 0.620 0.747
Pt1 0.000 0.000 0.000
Pt2 0.500 0.000 0.000
Pt3 0.450 0.512 0.678
Pt4 0.773 0.322 0.835
Pt5 0.938 0.165 0.488
Pt6 0.550 0.488 0.322
Pt7 0.227 0.678 0.165
Pt8 0.062 0.835 0.512
# VASP energy: -883.91 eV per cell
# N(E_F): 0.314 states/eV per atom
# V: 269.7 Å³ per cell